(1)
CeNiSnRu after structural relaxation. Source: Alexandria, functional PBE-GGA.

a b c (Å): 6.659 6.659 6.659
angles (deg): 90.00 90.00 90.00
Space group F-43m (No. 216)
One atom of each set of equivalent atoms:
Ce 0.000 0.000 0.000 x4
Ni 0.250 0.250 0.750 x4
Sn 0.000 0.000 0.500 x4
Ru 0.250 0.250 0.250 x4

Values from the calculation:
ρ = 9.418 Mg/m³
E_form = -30 kJ per mole of atoms
DFT total energy = -6.56 eV/atom
M_tot = 0.00 μB/cell
Density of states at the Fermi level = 5.80 states/eV/f.u.

---

(2)
Rb2PtAuI6 after structural relaxation. Source: Alexandria, functional PBE-GGA.

a b c (Å): 7.945 7.946 14.499
angles (deg): 90.00 122.77 90.00
Space group P2_1/c (No. 14)
One atom of each set of equivalent atoms:
Rb 0.244 0.012 0.250 x4
Pt 0.500 0.000 0.000 x2
Au 0.000 0.000 0.500 x2
I 0.212 0.215 0.994 x4
I 0.283 0.718 0.998 x4
I 0.288 0.505 0.278 x4

Values from the calculation:
ρ = 5.714 Mg/m³
DFT total energy = -2.69 eV/atom
M_tot = 0.00 μB/cell
Density of states at the Fermi level = 1.32 states/eV/f.u.
Energy relative to the elements, uncorrected = -0.639 eV per atom

---

(3)
Li2NpSe4 after structural relaxation. Source: Alexandria, functional PBE-GGA.

a b c (Å): 8.292 8.572 9.531
angles (deg): 90.00 90.00 90.00
Space group Imma (No. 74)
One atom of each set of equivalent atoms:
Li 0.000 0.250 0.194 x4
Li 0.250 0.250 0.750 x4
Np 0.000 0.000 0.500 x4
Se 0.000 0.045 0.770 x8
Se 0.211 0.250 0.464 x8

Values from the calculation:
ρ = 5.556 Mg/m³
DFT total energy = -5.29 eV/atom
M_tot = 3.89 μB/cell
Density of states at the Fermi level = 6.29 states/eV/f.u.
Energy relative to the elements, uncorrected = -0.900 eV per atom

---

(4)
Pu6GaGe3 after structural relaxation. Source: Alexandria, functional PBE-GGA.

a b c (Å): 10.412 10.879 8.369
angles (deg): 90.00 90.00 90.00
Space group Cmc2_1 (No. 36)
One atom of each set of equivalent atoms:
Pu 0.000 0.174 0.000 x4
Pu 0.000 0.175 0.507 x4
Pu 0.174 0.498 0.502 x8
Pu 0.247 0.250 0.745 x8
Ga 0.000 0.377 0.251 x4
Ge 0.000 0.379 0.756 x4
Ge 0.124 0.002 0.253 x8

Values from the calculation:
ρ = 12.275 Mg/m³
E_form = -25 kJ per mole of atoms
DFT total energy = -10.54 eV/atom
M_tot = 0.55 μB/cell
Density of states at the Fermi level = 43.39 states/eV/f.u.

---

Please write out number 4 again, unchanged.
Pu6GaGe3 after structural relaxation. Source: Alexandria, functional PBE-GGA.

a b c (Å): 10.412 10.879 8.369
angles (deg): 90.00 90.00 90.00
Space group Cmc2_1 (No. 36)
One atom of each set of equivalent atoms:
Pu 0.000 0.174 0.000 x4
Pu 0.000 0.175 0.507 x4
Pu 0.174 0.498 0.502 x8
Pu 0.247 0.250 0.745 x8
Ga 0.000 0.377 0.251 x4
Ge 0.000 0.379 0.756 x4
Ge 0.124 0.002 0.253 x8

Values from the calculation:
ρ = 12.275 Mg/m³
E_form = -25 kJ per mole of atoms
DFT total energy = -10.54 eV/atom
M_tot = 0.55 μB/cell
Density of states at the Fermi level = 43.39 states/eV/f.u.

---

- Among the records above, which one has the highest DFT total energy?
  Rb2PtAuI6

---

- Which formula does entry 2 have?
  Rb2PtAuI6